Material: BaTlCo2F8
Method: DFT, GGA+U
State: optimized geometry

Computed properties:
Magnetic moment, μB per cell: 3.0
Total DFT energy (no corrections), eV/atom: -4.7053

```
data_BaTlCo2F8
_chemical_formula_sum 'Ba1 Tl1 Co2 F8'
_cell_length_a 4.934
_cell_length_b 5.691
_cell_length_c 7.262
_cell_angle_alpha 77.49
_cell_angle_beta 73.55
_cell_angle_gamma 89.80
_symmetry_space_group_name_H-M 'P -1'
_symmetry_Int_Tables_number 2
loop_
_symmetry_equiv_pos_as_xyz
'x,y,z'
'-x,-y,-z'
loop_
_atom_site_label
_atom_site_type_symbol
_atom_site_fract_x
_atom_site_fract_y
_atom_site_fract_z
_atom_site_occupancy
Ba1 Ba 0.000 0.000 0.000 1
Tl1 Tl 0.000 0.000 0.500 1
Co1 Co 0.487 0.493 0.785 1
F1 F 0.243 0.369 0.673 1
F2 F 0.257 0.385 0.097 1
F3 F 0.357 0.803 0.190 1
F4 F 0.358 0.796 0.728 1
```